Entry 1:
# LuNpSn2

A relaxed structure of LuNpSn2 (GGA-PBE, the Alexandria database).

The calculation puts the polymorph energy (0 for the lowest one) at 17 meV per atom.

abc: 3.906 3.906 6.758
angles: 90.00 90.00 90.00
Element x y z (fractional)
Lu: 0.000 0.000 0.000
Np: 0.000 0.000 0.500
Sn: 0.500 0.500 0.236
Sn: 0.500 0.500 0.764


Entry 2:
# Ac2CeSb

A relaxed structure of Ac2CeSb (GGA-PBE, the Alexandria database).

The calculation puts the uncorrected formation energy at -401 meV/atom. The calculation puts the polymorph energy (0 for the lowest one) at 0 meV per atom.

abc: 5.183 5.183 5.025
angles: 90.00 90.00 90.00
Element x y z (fractional)
Ac: 0.000 0.500 0.000
Ac: 0.500 0.000 0.000
Ce: 0.000 0.000 0.500
Sb: 0.500 0.500 0.500


Entry 3:
# ErU2Fe3

A relaxed structure of ErU2Fe3 (GGA-PBE, the Alexandria database).

abc: 5.614 5.614 7.990
angles: 90.00 90.00 59.99
Element x y z (fractional)
Er: 0.000 0.000 0.250
Er: 0.000 0.000 0.750
U: 0.333 0.333 0.000
U: 0.333 0.333 0.500
U: 0.667 0.667 0.000
U: 0.667 0.667 0.500
Fe: 0.001 0.499 0.250
Fe: 0.499 0.001 0.750
Fe: 0.500 0.500 0.250
Fe: 0.500 0.500 0.750
Fe: 0.501 0.999 0.250
Fe: 0.999 0.501 0.750


Entry 4:
# La4GaBr5

A relaxed structure of La4GaBr5 (GGA-PBE, the Alexandria database).

The calculation puts the uncorrected formation energy at -1507 meV/atom.

abc: 9.783 9.783 8.845
angles: 102.45 102.45 25.67
Element x y z (fractional)
La: 0.001 0.001 0.234
La: 0.343 0.343 0.921
La: 0.657 0.657 0.079
La: 0.999 0.999 0.766
Ga: 0.500 0.500 0.000
Br: 0.168 0.168 0.325
Br: 0.169 0.169 0.833
Br: 0.500 0.500 0.500
Br: 0.831 0.831 0.167
Br: 0.832 0.832 0.675


Entry 5:
# K2RbSbF

A relaxed structure of K2RbSbF (GGA-PBE, the Alexandria database).

The calculation puts the uncorrected formation energy at -1250 meV/atom.

abc: 5.439 5.439 5.626
angles: 90.00 90.00 90.00
Element x y z (fractional)
K: 0.000 0.500 0.000
K: 0.500 0.000 0.000
Rb: 0.000 0.000 0.500
Sb: 0.500 0.500 0.500
F: 0.000 0.000 0.000


Entry 6:
# CdHSe

A relaxed structure of CdHSe (GGA-PBE, the Alexandria database).

abc: 4.457 4.461 8.648
angles: 88.92 86.99 60.09
Element x y z (fractional)
Cd: 0.180 0.165 0.373
Cd: 0.820 0.835 0.627
H: 0.412 0.563 0.017
H: 0.588 0.437 0.983
Se: 0.144 0.171 0.708
Se: 0.856 0.829 0.292


no.,VASP energy (Ha/atom)
1,-0.2417
2,-0.1826
3,-0.3237
4,-0.1697
5,-0.1132
6,-0.1079